This record from Alexandria via LeMat-Bulk describes a geometry-optimized KNaI2N structure. The functional is PBE.

POSCAR file:
```
KNaI2N
1.0
6.155 0.000 0.000
0.000 6.155 0.000
0.000 0.000 4.898
I Na K N
2 1 1 1
Cartesian
0.000 3.078 0.000
3.078 0.000 0.000
0.000 0.000 0.000
3.078 3.078 2.449
0.000 0.000 2.449
```

Output
- E above lowest polymorph: 0 meV/atom
- Raw formation energy: -0.28 kcal/mol of atoms

=====

This record from Alexandria via LeMat-Bulk describes a geometry-optimized CoGe2Pd structure. The functional is PBE.

POSCAR file:
```
CoGe2Pd
1.0
-1.045 1.775 -2.084
-0.353 -0.997 -2.733
-7.686 -1.948 0.134
Ge Co Pd
2 1 1
Cartesian
-2.122 -0.247 -1.207
-6.963 -0.923 -3.476
0.000 0.000 0.000
-4.542 -0.585 -2.341
```

Output
- E above lowest polymorph: 18 meV/atom
- Formation energy from the elements: -0.1438 eV/atom

=====

This record from Alexandria via LeMat-Bulk describes a geometry-optimized Hf3CuC structure. The functional is PBE.

POSCAR file:
```
Hf3CuC
1.0
5.643 0.000 0.000
0.000 8.315 0.043
0.000 -3.269 7.154
Hf Cu C
12 4 4
Cartesian
0.447 2.308 6.668
5.196 2.739 0.529
3.269 6.897 0.550
2.375 -1.850 6.646
3.290 1.140 5.744
2.354 3.906 1.452
0.468 -0.251 1.431
5.175 5.298 5.765
0.606 -0.147 4.543
5.037 5.194 2.654
3.428 1.036 2.632
2.216 4.010 4.564
4.742 2.972 4.255
0.901 2.075 2.941
1.921 6.232 2.962
3.723 -1.186 4.234
1.406 0.261 6.606
4.238 4.786 0.591
4.227 0.628 0.570
1.416 4.418 6.627
```

Output
- E above lowest polymorph: 145 meV/atom
- Formation energy from the elements: -0.3547 eV/atom

=====

This record from Alexandria via LeMat-Bulk describes a geometry-optimized Ba3CeGe2O9 structure. The functional is PBE.

POSCAR file:
```
Ba3CeGe2O9
1.0
5.823 0.000 0.000
-2.912 5.043 0.000
0.000 0.000 7.209
Ba Ce Ge O
3 1 2 9
Cartesian
0.000 3.362 4.947
0.000 0.000 0.000
2.912 1.681 2.263
0.000 0.000 3.605
0.000 3.362 1.169
2.912 1.681 6.040
4.271 0.896 4.939
2.912 3.251 4.939
1.552 0.896 4.939
1.360 4.147 2.270
0.000 1.792 2.270
-1.360 4.147 2.270
2.912 0.000 0.000
-1.456 2.522 0.000
1.456 2.522 0.000
```

Output
- Raw formation energy: -57.01 kcal/mol of atoms

=====

This record from Alexandria via LeMat-Bulk describes a geometry-optimized Ti2ZnPb structure. The functional is PBE.

POSCAR file:
```
Ti2ZnPb
1.0
3.175 0.001 0.000
1.588 2.750 0.000
1.589 0.917 8.824
Ti Zn Pb
2 1 1
Cartesian
1.588 0.917 6.824
1.588 0.917 2.001
4.764 2.751 8.821
3.176 1.834 4.414
```

Output
- Formation energy from the elements: 0.0995 eV/atom

=====

This record from Alexandria via LeMat-Bulk describes a geometry-optimized Li2PRh structure. The functional is PBE.

POSCAR file:
```
Li2PRh
1.0
3.066 0.000 0.000
0.000 3.066 0.000
0.000 0.000 5.883
Li P Rh
2 1 1
Cartesian
0.000 0.000 5.793
1.533 1.533 1.608
0.000 0.000 3.099
1.533 1.533 4.207
```

Output
- Formation energy from the elements: -0.4666 eV/atom